Record 1
Na2YHg: relaxed, PBE.

POSCAR file:
```
Na2YHg
1.0
-7.324 1.044 -5.169
-5.207 -2.833 6.805
-6.548 1.985 1.801
Y Hg Na
2 2 4
direct
0.250 0.750 0.500
0.500 0.500 0.000
0.000 0.000 0.000
0.750 0.250 0.500
0.674 0.125 0.250
0.875 0.924 0.750
0.076 0.625 0.250
0.375 0.326 0.750
```

Calculated volume ... 248.9 Å³/cell



Record 2
NaYHg3: relaxed, PBE.

POSCAR file:
```
NaYHg3
1.0
5.858 0.000 0.000
0.000 5.858 0.000
0.000 0.000 5.858
Na Hg Y
1 3 1
direct
0.500 0.500 0.500
0.500 0.000 0.000
0.000 0.500 0.000
0.000 0.000 0.500
0.000 0.000 0.000
```

Relative energy among the computed polymorphs ... 0.4094 eV per atom
Calculated volume ... 201.0 Å³/cell



Record 3
Na2YHg6: relaxed, PBE.

POSCAR file:
```
Na2YHg6
1.0
3.346 -0.001 0.000
-0.001 7.608 4.371
-0.003 0.012 8.775
Na Hg Y
2 6 1
direct
0.000 0.333 0.333
0.000 0.667 0.667
0.499 0.000 0.665
0.500 0.335 0.665
0.499 0.665 0.000
0.500 0.665 0.335
0.501 0.335 0.000
0.501 0.000 0.335
0.000 0.000 0.000
```

Calculated volume ... 223.2 Å³/cell



Record 4
NaY3Hg: relaxed, PBE.

POSCAR file:
```
NaY3Hg
1.0
5.508 0.000 0.000
0.000 5.508 0.000
0.000 0.000 5.508
Y Na Hg
3 1 1
direct
0.000 0.000 0.500
0.000 0.500 0.000
0.500 0.000 0.000
0.000 0.000 0.000
0.500 0.500 0.500
```

Relative energy among the computed polymorphs ... 0.5655 eV per atom
Calculated volume ... 167.1 Å³/cell



Record 5
NaY2Hg6: relaxed, PBE.

POSCAR file:
```
NaY2Hg6
1.0
3.393 0.000 0.000
0.000 7.496 -4.328
0.000 0.000 8.656
Hg Y Na
6 2 1
direct
0.500 0.000 0.668
0.500 0.332 0.000
0.500 0.000 0.332
0.500 0.668 0.668
0.500 0.668 0.000
0.500 0.332 0.332
0.000 0.333 0.667
0.000 0.667 0.333
0.000 0.000 0.000
```

Calculated volume ... 220.1 Å³/cell



Record 6
NaYHg3: relaxed, PBE.

POSCAR file:
```
NaYHg3
1.0
-1.450 -1.906 -5.784
5.034 0.845 -1.541
0.587 -5.991 7.859
Y Hg Na
2 6 2
direct
0.819 0.603 0.206
0.181 0.397 0.794
0.766 0.010 0.019
0.702 0.411 0.822
0.967 0.789 0.578
0.234 0.990 0.981
0.033 0.211 0.422
0.298 0.589 0.178
0.501 0.806 0.613
0.499 0.194 0.387
```

Relative energy among the computed polymorphs ... 0.0000 eV per atom
Calculated volume ... 258.2 Å³/cell



Record 7
NaY2Hg3: relaxed, PBE.

POSCAR file:
```
NaY2Hg3
1.0
3.699 0.000 0.000
0.000 3.699 0.000
0.000 0.000 11.411
Y Hg Na
2 3 1
direct
0.500 0.500 0.166
0.500 0.500 0.834
0.000 0.000 0.679
0.000 0.000 0.000
0.000 0.000 0.321
0.500 0.500 0.500
```

Calculated volume ... 156.1 Å³/cell



Record 8
Na2YHg3: relaxed, PBE.

POSCAR file:
```
Na2YHg3
1.0
5.215 0.000 0.022
2.607 7.817 0.011
-0.029 0.000 7.550
Y Hg Na
2 6 4
direct
0.665 0.669 0.000
0.335 0.331 0.000
0.499 0.000 0.245
0.169 0.662 0.238
0.831 0.338 0.238
0.169 0.662 0.762
0.831 0.338 0.762
0.501 0.000 0.755
0.334 0.332 0.500
0.666 0.668 0.500
0.000 0.000 0.500
0.000 0.000 0.000
```

Calculated volume ... 307.8 Å³/cell



Record 9
NaYHg4: relaxed, PBE.

POSCAR file:
```
NaYHg4
1.0
5.980 0.000 0.000
2.990 5.179 0.000
2.990 1.726 4.882
Hg Na Y
4 1 1
direct
0.625 0.625 0.125
0.125 0.625 0.625
0.625 0.625 0.625
0.625 0.125 0.625
0.250 0.250 0.250
0.000 0.000 0.000
```

Relative energy among the computed polymorphs ... 0.1801 eV per atom
Calculated volume ... 151.2 Å³/cell



Record 10
NaYHg3: relaxed, PBE.

POSCAR file:
```
NaYHg3
1.0
-0.784 -4.922 -1.413
1.055 -1.554 4.828
-5.011 0.442 1.238
Hg Na Y
3 1 1
direct
0.000 0.500 0.000
0.000 0.000 0.500
0.500 0.000 0.000
0.000 0.000 0.000
0.500 0.500 0.500
```

Relative energy among the computed polymorphs ... 0.4700 eV per atom
Calculated volume ... 139.1 Å³/cell



Record 11
NaYHg4: relaxed, PBE.

POSCAR file:
```
NaYHg4
1.0
3.712 0.000 1.074
2.027 5.221 -0.056
-0.225 -1.408 7.732
Y Hg Na
1 4 1
direct
0.500 0.500 0.500
0.164 0.506 0.166
0.332 0.003 0.334
0.836 0.494 0.834
0.668 0.997 0.666
0.000 0.000 0.000
```

Relative energy among the computed polymorphs ... 0.0000 eV per atom
Calculated volume ... 147.7 Å³/cell



Record 12
NaYHg2: relaxed, PBE.

POSCAR file:
```
NaYHg2
1.0
-3.089 0.946 1.858
-3.291 -1.436 -1.002
-0.797 -7.281 6.120
Na Hg Y
1 2 1
direct
0.500 0.500 0.500
0.748 0.748 0.756
0.252 0.252 0.244
0.000 0.000 0.000
```

Calculated volume ... 111.9 Å³/cell



Energy of formation list, top to bottom, in eV/atom: 0.154; 0.134; -0.262; 0.826; -0.322; -0.276; -0.402; -0.294; -0.121; 0.194; -0.301; -0.229